No. 1
The following is a DFT calculation (PBE) of a geometry-optimized TcAu3 structure.

Values from the calculation:
The calculation puts the spin magnetization at 0.159 μB per atom. As for the density of states at the Fermi level: 2.06 states/eV/f.u. As for the electronic total energy: -4.702 eV per atom. The formation energy comes out at 0.3478 eV per atom.

a b c (Å): 6.0530 8.2603 2.7515
angles (deg): 90.00 90.00 90.00
Space group Cmmm (No. 65)
Asymmetric unit:
1 Tc 0.0000 0.0000 0.0000 (multiplicity 2)
2 Au 0.0000 0.5000 0.0000 (multiplicity 2)
3 Au 0.2500 0.2500 0.5000 (multiplicity 4)

***

No. 2
The following is a DFT calculation (PBE) of a geometry-optimized BaMgHg2F8 structure.

Values from the calculation:
The calculation puts the spin magnetization at 0.017 μB per atom. The uncorrected formation energy comes out at -2.4623 eV/atom. As for the density of states at the Fermi level: 0.00 states/eV/f.u. As for the electronic total energy: -4.053 eV per atom.

a b c (Å): 5.6127 5.6127 6.9217
angles (deg): 90.00 90.00 120.00
Space group P-3 (No. 147)
Asymmetric unit:
1 Ba 0.0000 0.0000 0.0000 (multiplicity 1)
2 Mg 0.0000 0.0000 0.5000 (multiplicity 1)
3 Hg 0.3333 0.6667 0.5959 (multiplicity 2)
4 F 0.1061 0.7804 0.3368 (multiplicity 6)
5 F 0.3333 0.6667 0.9048 (multiplicity 2)

***

No. 3
The following is a DFT calculation (PBE) of a geometry-optimized CdI2N structure.

Values from the calculation:
The calculation puts the spin magnetization at 0.751 μB per atom. The uncorrected formation energy comes out at 1.1269 eV/atom. As for the density of states at the Fermi level: 0.48 states/eV/f.u. The excess energy over the best structure of this formula in the dataset comes out at 629.6 meV per atom. As for the electronic total energy: -1.958 eV per atom.

a b c (Å): 7.6407 7.6407 7.6407
angles (deg): 90.00 90.00 90.00
Space group Fm-3m (No. 225)
Asymmetric unit:
1 Cd 0.0000 0.0000 0.0000 (multiplicity 4)
2 I 0.2500 0.2500 0.2500 (multiplicity 8)
3 N 0.0000 0.0000 0.5000 (multiplicity 4)

***

No. 4
The following is a DFT calculation (PBE) of a geometry-optimized CaSbW2Au structure.

Values from the calculation:
The calculation puts the spin magnetization at 0.000 μB per atom. The uncorrected formation energy comes out at 0.0904 eV/atom. As for the density of states at the Fermi level: 3.26 states/eV/f.u. The excess energy over the best structure of this formula in the dataset comes out at 55.1 meV per atom. As for the electronic total energy: -6.971 eV per atom.

a b c (Å): 3.3180 3.2467 19.6313
angles (deg): 90.00 90.00 90.00
Space group Amm2 (No. 38)
Asymmetric unit:
1 Ca 0.0000 0.0000 0.0000 (multiplicity 2)
2 Sb 0.5000 0.0000 0.6205 (multiplicity 2)
3 W 0.0000 0.0000 0.8053 (multiplicity 2)
4 W 0.5000 0.0000 0.2397 (multiplicity 2)
5 Au 0.5000 0.0000 0.3963 (multiplicity 2)

***

No. 5
The following is a DFT calculation (PBE) of a geometry-optimized Y2Er2Al4Cu structure.

Values from the calculation:
The calculation puts the spin magnetization at 0.000 μB per atom. As for the density of states at the Fermi level: 7.42 states/eV/f.u. As for the electronic total energy: -4.788 eV per atom. The formation energy comes out at -0.2186 eV per atom.

a b c (Å): 6.9030 6.9030 8.6834
angles (deg): 90.00 90.00 90.00
Space group I4/mmm (No. 139)
Asymmetric unit:
1 Y 0.0000 0.5000 0.2500 (multiplicity 4)
2 Er 0.0000 0.0000 0.1960 (multiplicity 4)
3 Al 0.2409 0.2409 0.5000 (multiplicity 8)
4 Cu 0.0000 0.0000 0.5000 (multiplicity 2)

***

No. 6
The following is a DFT calculation (PBE) of a geometry-optimized LiSbF4 structure.

Values from the calculation:
The calculation puts the spin magnetization at 0.000 μB per atom. The uncorrected formation energy comes out at -2.3652 eV/atom. As for the density of states at the Fermi level: 0.00 states/eV/f.u. As for the electronic total energy: -4.619 eV per atom.

a b c (Å): 5.5802 5.5802 5.6581
angles (deg): 90.00 90.00 90.00
Space group I-4 (No. 82)
Asymmetric unit:
1 Li 0.0000 0.0000 0.0000 (multiplicity 2)
2 Sb 0.0000 0.5000 0.7500 (multiplicity 2)
3 F 0.2265 0.2400 0.9193 (multiplicity 8)